Entry from the Alexandria database: Np2Si3Ir after structural relaxation (PBE).

Summary:
- Calculated density: 12.12 g cm⁻³
- N(E_F): 18.1 states/eV per cell
- Uncorrected formation energy: -0.44 eV/atom

Lattice parameters (Å, degrees): 9.963 4.151 5.991 90.00 123.89 90.00
Space group Cm (No. 8)
One atom of each set of equivalent atoms:
Np1 0.000 0.000 0.000 [2 per cell]
Np2 0.074 0.000 0.682 [2 per cell]
Si1 0.234 0.500 0.091 [2 per cell]
Si2 0.336 0.000 0.581 [2 per cell]
Si3 0.393 0.000 0.224 [2 per cell]
Ir1 0.183 0.500 0.448 [2 per cell]

Entry from the Alexandria database: TiTc2Au after structural relaxation (PBE).

Summary:
- Calculated density: 11.65 g cm⁻³
- Energy above the lowest structure with this stoichiometry: 0.00 kcal/mol of atoms
- N(E_F): 23.9 states/eV per cell

Lattice parameters (Å, degrees): 6.310 6.310 6.310 90.00 90.00 90.00
Space group Fm-3m (No. 225)
One atom of each set of equivalent atoms:
Ti1 0.000 0.000 0.000 [4 per cell]
Tc1 0.250 0.250 0.250 [8 per cell]
Au1 0.000 0.000 0.500 [4 per cell]

Entry from the Alexandria database: MnAlRe after structural relaxation (PBE).

Summary:
- Calculated density: 10.71 g cm⁻³
- Energy above the lowest structure with this stoichiometry: 5.38 kcal/mol of atoms
- N(E_F): 10.1 states/eV per cell

Lattice parameters (Å, degrees): 3.221 4.267 12.095 90.00 90.00 90.00
Space group Fmm2 (No. 42)
One atom of each set of equivalent atoms:
Mn1 0.000 0.000 0.000 [4 per cell]
Al1 0.000 0.000 0.661 [4 per cell]
Re1 0.000 0.000 0.338 [4 per cell]

Entry from the Alexandria database: Ce4GeAs2 after structural relaxation (PBE).

Summary:
- Calculated density: 7.32 g cm⁻³
- Electronic total energy: -6.404 eV per atom
- N(E_F): 85.9 states/eV per cell

Lattice parameters (Å, degrees): 8.918 8.918 8.927 90.00 90.00 90.00
Space group I-42d (No. 122)
One atom of each set of equivalent atoms:
Ce1 0.070 0.678 0.445 [16 per cell]
Ge1 0.000 0.000 0.500 [4 per cell]
As1 0.126 0.750 0.125 [8 per cell]

Entry from the Alexandria database: KAsSeBr2 after structural relaxation (PBE).

Summary:
- Calculated density: 3.44 g cm⁻³
- Energy above the lowest structure with this stoichiometry: 8.16 kcal/mol of atoms
- N(E_F): 2.4 states/eV per cell
- Uncorrected formation energy: -0.28 eV/atom

Lattice parameters (Å, degrees): 5.866 5.866 4.953 90.00 90.00 90.00
Space group P4/mmm (No. 123)
One atom of each set of equivalent atoms:
K1 0.000 0.000 0.000 [1 per cell]
As1 0.500 0.500 0.000 [1 per cell]
Se1 0.500 0.500 0.500 [1 per cell]
Br1 0.000 0.500 0.500 [2 per cell]

Entry from the Alexandria database: LiLa2Pb3 after structural relaxation (PBE).

Summary:
- Calculated density: 8.44 g cm⁻³
- Energy above the lowest structure with this stoichiometry: 0.66 kcal/mol of atoms
- N(E_F): 24.0 states/eV per cell

Lattice parameters (Å, degrees): 8.759 9.729 16.746 90.00 90.00 90.00
Space group Fmmm (No. 69)
One atom of each set of equivalent atoms:
Li1 0.000 0.000 0.169 [8 per cell]
La1 0.231 0.000 0.500 [8 per cell]
La2 0.250 0.250 0.250 [8 per cell]
Pb1 0.000 0.000 0.326 [8 per cell]
Pb2 0.000 0.225 0.088 [16 per cell]

Entry from the Alexandria database: Pm2AgGe3Pd4 after structural relaxation (PBE).

Summary:
- Calculated density: 8.84 g cm⁻³
- Electronic total energy: -5.402 eV per atom
- N(E_F): 5.9 states/eV per cell

Lattice parameters (Å, degrees): 4.306 4.306 10.554 90.00 90.00 90.00
Space group P-4m2 (No. 115)
One atom of each set of equivalent atoms:
Pm1 0.000 0.500 0.250 [2 per cell]
Ag1 0.000 0.000 0.500 [1 per cell]
Ge1 0.000 0.500 0.875 [2 per cell]
Ge2 0.500 0.500 0.500 [1 per cell]
Pd1 0.000 0.000 0.000 [1 per cell]
Pd2 0.000 0.500 0.645 [2 per cell]
Pd3 0.500 0.500 0.000 [1 per cell]